(1)
TaTeMo2 | Alexandria | PBE | optimized geometry; formation energy (no corrections) = 1.72 eV per formula unit; space-group type = No. 35; total magnetic moment = 0.0 μB per formula unit; volume = 75 Å³/cell
1.0
2.996 -0.007 0.000
-1.124 2.777 0.000
0.000 0.000 8.970
Mo Te Ta
2 1 1
Cartesian
0.936 1.385 2.188 Mo
0.000 0.000 0.216 Mo
0.936 1.385 6.718 Te
0.000 0.000 4.333 Ta

(2)
SrCaSbH | Alexandria | PBE | optimized geometry; energy = -3.553 eV per atom; space-group type = No. 186; total magnetic moment = 0.0 μB per formula unit; volume = 237 Å³/cell
1.0
5.169 0.000 0.000
-2.585 4.477 0.000
0.000 0.000 10.246
Ca Sb H Sr
2 2 2 2
Cartesian
0.000 0.000 1.877 Ca
0.000 0.000 7.000 Ca
2.585 1.492 7.679 Sb
0.000 2.984 2.556 Sb
0.000 0.000 4.689 H
0.000 0.000 9.812 H
0.000 2.984 9.446 Sr
2.585 1.492 4.323 Sr